Entry 1:
Below is Zr2AgTeF after structural relaxation, with properties calculated at the PBE level.

Summary:
energy relative to the elements, uncorrected: -267 kJ/mol of formula units
total moment: 0.00 μB/cell

a b c (Å): 4.402 4.402 5.366
angles (deg): 90.00 90.00 90.00
Space group P4/mmm (No. 123)
One atom of each set of equivalent atoms:
Zr 0.000 0.500 0.000
Ag 0.000 0.000 0.500
Te 0.500 0.500 0.500
F 0.500 0.500 0.000



Entry 2:
Below is ThAg3F8 after structural relaxation, with properties calculated at the PBE level.

Summary:
energy relative to the elements, uncorrected: -2684 kJ/mol of formula units
total moment: 1.20 μB/cell

a b c (Å): 5.704 5.704 5.704
angles (deg): 90.00 90.00 90.00
Space group Pm-3m (No. 221)
One atom of each set of equivalent atoms:
Th 0.000 0.000 0.000
Ag 0.000 0.500 0.500
F 0.238 0.238 0.238



Entry 3:
Below is ThAg6F12 after structural relaxation, with properties calculated at the PBE level.

Summary:
energy relative to the elements, uncorrected: -3373 kJ/mol of formula units
total moment: 6.24 μB/cell

a b c (Å): 10.6648 10.6648 9.9093
angles (deg): 90.00 90.00 120.00
Space group R-3 (No. 148, hexagonal axes)
One atom of each set of equivalent atoms:
Th 0.0000 0.0000 0.0000
Ag 0.0241 0.2424 0.6371
F 0.0052 0.2203 0.3917
F 0.0182 0.1812 0.8715



- Which of these has the lowest energy relative to the elements, uncorrected?
  ThAg6F12



Copy entry 2 word for word.
Below is ThAg3F8 after structural relaxation, with properties calculated at the PBE level.

Summary:
energy relative to the elements, uncorrected: -2684 kJ/mol of formula units
total moment: 1.20 μB/cell

a b c (Å): 5.704 5.704 5.704
angles (deg): 90.00 90.00 90.00
Space group Pm-3m (No. 221)
One atom of each set of equivalent atoms:
Th 0.000 0.000 0.000
Ag 0.000 0.500 0.500
F 0.238 0.238 0.238



Please write out number 3 again, unchanged.
Below is ThAg6F12 after structural relaxation, with properties calculated at the PBE level.

Summary:
energy relative to the elements, uncorrected: -3373 kJ/mol of formula units
total moment: 6.24 μB/cell

a b c (Å): 10.6648 10.6648 9.9093
angles (deg): 90.00 90.00 120.00
Space group R-3 (No. 148, hexagonal axes)
One atom of each set of equivalent atoms:
Th 0.0000 0.0000 0.0000
Ag 0.0241 0.2424 0.6371
F 0.0052 0.2203 0.3917
F 0.0182 0.1812 0.8715